Record 1
A plane-wave DFT calculation with PBE was carried out for crystalline Ca2LaRh at its relaxed geometry.

The structure in POSCAR format:
```
Ca2LaRh
1.0
-1.5558 -1.0185 6.1898
-3.9335 -4.7744 1.8721
5.1817 1.0069 -3.7293
Ca Rh La
2 1 1
Cartesian
-2.7446 -2.8964 4.0310
0.0000 0.0000 0.0000
0.4406 -1.4540 3.2457
-0.7482 -3.3320 1.0869
```

VASP energy   -16.574 eV per cell
Magnetization   0.00 μB per formula unit
Energy above the lowest structure with this stoichiometry   130 kJ/mol of formula units
Symmetry   No. 139

Record 2
A plane-wave DFT calculation with PBE was carried out for crystalline BeFeNi at its relaxed geometry.

The structure in POSCAR format:
```
BeFeNi
1.0
3.7932 0.0000 0.0000
-1.8966 3.2850 0.0000
0.0000 0.0000 2.4327
Be Fe Ni
1 1 1
Cartesian
0.0000 0.0000 2.1318
1.8966 1.0950 0.8016
0.0000 2.1900 1.9319
```

VASP energy   -18.338 eV per cell
Magnetization   2.57 μB per formula unit
Energy above the lowest structure with this stoichiometry   30 kJ/mol of formula units
Symmetry   No. 156

Record 3
A plane-wave DFT calculation with PBE was carried out for crystalline Dy4HI5 at its relaxed geometry.

The structure in POSCAR format:
```
Dy4HI5
1.0
-2.3351 -1.1555 2.9583
6.8297 -3.7359 3.9319
1.2578 9.2713 1.9877
I Dy H
5 4 1
Cartesian
2.2473 -2.4457 3.4451
0.0709 4.4505 4.4206
3.3814 2.7770 6.3802
5.6815 -0.0705 4.4572
2.3710 1.6030 2.4977
0.2860 7.3459 5.7214
5.4663 -2.9659 3.1565
-0.7007 1.4186 2.6274
6.4530 2.9614 6.2505
-1.1676 -0.5777 1.4791
```

VASP energy   -38.825 eV per cell
Magnetization   0.00 μB per formula unit
Symmetry   No. 12